(1)
Entry from Alexandria via LeMat-Bulk: a relaxed K2MgMnCl6 crystal (PBE-GGA).

Summary:
Space-group type: R-3m, No. 166
Formation energy (no corrections), eV per atom: -1.6649

a b c (Å): 7.1147 7.1147 12.6925
angles (deg): 73.72 73.72 60.00
Fractional positions:
K: 0.8774 0.8774 0.3678
K: 0.1226 0.1226 0.6322
K: 0.7084 0.7084 0.8749
K: 0.2916 0.2916 0.1251
Mg: 0.5866 0.5866 0.2402
Mg: 0.4134 0.4134 0.7598
Mn: 0.0000 0.0000 0.0000
Mn: 0.5000 0.5000 0.5000
Cl: 0.8656 0.3825 0.3694
Cl: 0.3825 0.8656 0.3694
Cl: 0.3825 0.3825 0.3694
Cl: 0.1344 0.6175 0.6306
Cl: 0.6175 0.1344 0.6306
Cl: 0.6175 0.6175 0.6306
Cl: 0.7076 0.2071 0.8782
Cl: 0.2071 0.7076 0.8782
Cl: 0.2071 0.2071 0.8782
Cl: 0.2924 0.7929 0.1218
Cl: 0.7929 0.2924 0.1218
Cl: 0.7929 0.7929 0.1218


(2)
Entry from Alexandria via LeMat-Bulk: a relaxed Mn2ReTc crystal (PBE-GGA).

Summary:
Space-group type: I4/mmm, No. 139
Energy relative to the elements, eV/atom: 0.088

a b c (Å): 4.5186 4.5186 4.5186
angles (deg): 130.47 130.47 72.66
Fractional positions:
Mn: 0.0000 0.0000 0.0000
Mn: 0.5000 0.5000 0.0000
Re: 0.2500 0.7500 0.5000
Tc: 0.7500 0.2500 0.5000


(3)
Entry from Alexandria via LeMat-Bulk: a relaxed HfNbHRu2 crystal (PBE-GGA).

Summary:
Relative energy among the computed polymorphs, meV/atom: 0.0
Space-group type: P4/mmm, No. 123

a b c (Å): 4.2295 4.2295 3.8449
angles (deg): 90.00 90.00 90.00
Fractional positions:
Ru: 0.0000 0.5000 0.0000
Ru: 0.5000 0.0000 0.0000
Nb: 0.0000 0.0000 0.5000
Hf: 0.5000 0.5000 0.5000
H: 0.0000 0.0000 0.0000


(4)
Entry from Alexandria via LeMat-Bulk: a relaxed Zr2AlNiH crystal (PBE-GGA).

Summary:
Energy, eV per atom: -6.38
Space-group type: P4/mmm, No. 123

a b c (Å): 4.3854 4.3854 3.8182
angles (deg): 90.00 90.00 90.00
Fractional positions:
Ni: 0.0000 0.0000 0.5000
Al: 0.5000 0.5000 0.5000
Zr: 0.0000 0.5000 0.0000
Zr: 0.5000 0.0000 0.0000
H: 0.0000 0.0000 0.0000


(5)
Entry from Alexandria via LeMat-Bulk: a relaxed NdEr2Br crystal (PBE-GGA).

Summary:
Space-group type: R-3m, No. 166
Formation energy (no corrections), eV per atom: -0.2178

a b c (Å): 3.4866 3.4866 11.6401
angles (deg): 81.39 81.39 60.00
Fractional positions:
Nd: 0.0000 0.0000 0.0000
Br: 0.5000 0.5000 0.5000
Er: 0.0984 0.0984 0.7049
Er: 0.9016 0.9016 0.2951


(6)
Entry from Alexandria via LeMat-Bulk: a relaxed Sm15Er2In2 crystal (PBE-GGA).

Summary:
Space-group type: R-3m, No. 166
Energy relative to the elements, eV/atom: 0.151

a b c (Å): 8.6732 8.6732 8.6732
angles (deg): 79.48 79.48 79.48
Fractional positions:
Sm: 0.0000 0.5000 0.0000
Sm: 0.0000 0.0000 0.5000
Sm: 0.5000 0.0000 0.0000
Sm: 0.2922 0.0000 0.7078
Sm: 0.7078 0.2922 0.0000
Sm: 0.0000 0.7078 0.2922
Sm: 0.2922 0.7078 0.0000
Sm: 0.0000 0.2922 0.7078
Sm: 0.7078 0.0000 0.2922
Sm: 0.3749 0.8437 0.3749
Sm: 0.3749 0.3749 0.8437
Sm: 0.8437 0.3749 0.3749
Sm: 0.6251 0.1563 0.6251
Sm: 0.6251 0.6251 0.1563
Sm: 0.1563 0.6251 0.6251
Er: 0.6876 0.6876 0.6876
Er: 0.3124 0.3124 0.3124
In: 0.9053 0.9053 0.9053
In: 0.0947 0.0947 0.0947


(7)
Entry from Alexandria via LeMat-Bulk: a relaxed Ac12Cu6Ru crystal (PBE-GGA).

Summary:
Space-group type: R-3, No. 148
Energy relative to the elements, eV/atom: 0.011

a b c (Å): 8.8818 8.8818 8.8818
angles (deg): 97.99 97.99 97.99
Fractional positions:
Ac: 0.8130 0.5881 0.4298
Ac: 0.4298 0.8130 0.5881
Ac: 0.5881 0.4298 0.8130
Ac: 0.1870 0.4119 0.5702
Ac: 0.5702 0.1870 0.4119
Ac: 0.4119 0.5702 0.1870
Ac: 0.0919 0.9624 0.3167
Ac: 0.0376 0.6833 0.9081
Ac: 0.6833 0.9081 0.0376
Ac: 0.9081 0.0376 0.6833
Ac: 0.9624 0.3167 0.0919
Ac: 0.3167 0.0919 0.9624
Cu: 0.6845 0.8708 0.3769
Cu: 0.6231 0.3155 0.1292
Cu: 0.1292 0.6231 0.3155
Cu: 0.3155 0.1292 0.6231
Cu: 0.3769 0.6845 0.8708
Cu: 0.8708 0.3769 0.6845
Ru: 0.0000 0.0000 0.0000


(8)
Entry from Alexandria via LeMat-Bulk: a relaxed HoTh2Sb crystal (PBE-GGA).

Summary:
Space-group type: P4/mmm, No. 123
Formation energy (no corrections), eV per atom: -0.4300

a b c (Å): 5.1179 4.7420 4.7420
angles (deg): 90.00 90.00 90.00
Fractional positions:
Sb: 0.5000 0.0000 0.0000
Ho: 0.5000 0.5000 0.5000
Th: 0.0000 0.0000 0.5000
Th: 0.0000 0.5000 0.0000


(9)
Entry from Alexandria via LeMat-Bulk: a relaxed Cu2Au2Se crystal (PBE-GGA).

Summary:
Relative energy among the computed polymorphs, meV/atom: 0.0
Space-group type: P4/mbm, No. 127
Formation energy (no corrections), eV per atom: 0.0847

a b c (Å): 6.5127 6.5127 3.9249
angles (deg): 90.00 90.00 90.00
Fractional positions:
Au: 0.1531 0.6531 0.5000
Au: 0.6531 0.8469 0.5000
Au: 0.8469 0.3469 0.5000
Au: 0.3469 0.1531 0.5000
Cu: 0.3594 0.8594 0.0000
Cu: 0.8594 0.6406 0.0000
Cu: 0.6406 0.1406 0.0000
Cu: 0.1406 0.3594 0.0000
Se: 0.0000 0.0000 0.0000
Se: 0.5000 0.5000 0.0000


(10)
Entry from Alexandria via LeMat-Bulk: a relaxed LuSc2Ir crystal (PBE-GGA).

Summary:
Space-group type: P4/mmm, No. 123
Energy relative to the elements, eV/atom: -0.466

a b c (Å): 3.2133 3.2133 8.6325
angles (deg): 90.00 90.00 90.00
Fractional positions:
Sc: 0.0000 0.0000 0.8123
Sc: 0.0000 0.0000 0.1877
Ir: 0.5000 0.5000 0.0000
Lu: 0.5000 0.5000 0.5000


(11)
Entry from Alexandria via LeMat-Bulk: a relaxed Mg3GeH crystal (PBE-GGA).

Summary:
Relative energy among the computed polymorphs, meV/atom: 541.1
Space-group type: Pm-3m, No. 221

a b c (Å): 5.0619 5.0619 5.0619
angles (deg): 90.00 90.00 90.00
Fractional positions:
H: 0.5000 0.5000 0.5000
Ge: 0.0000 0.0000 0.0000
Mg: 0.0000 0.5000 0.0000
Mg: 0.0000 0.0000 0.5000
Mg: 0.5000 0.0000 0.0000


(12)
Entry from Alexandria via LeMat-Bulk: a relaxed Ba2TiBiO6 crystal (PBE-GGA).

Summary:
Space-group type: R-3m, No. 166
Formation energy (no corrections), eV per atom: -2.3137

a b c (Å): 6.0660 6.0660 10.6807
angles (deg): 73.50 73.50 60.00
Fractional positions:
Ba: 0.8682 0.8682 0.3954
Ba: 0.1318 0.1318 0.6046
Ba: 0.7195 0.7195 0.8414
Ba: 0.2805 0.2805 0.1586
Ti: 0.0000 0.0000 0.0000
Ti: 0.5000 0.5000 0.5000
Bi: 0.5943 0.5943 0.2172
Bi: 0.4057 0.4057 0.7828
O: 0.8451 0.3872 0.3805
O: 0.3872 0.8451 0.3805
O: 0.3872 0.3872 0.3805
O: 0.1549 0.6128 0.6195
O: 0.6128 0.1549 0.6195
O: 0.6128 0.6128 0.6195
O: 0.7360 0.1898 0.8845
O: 0.1898 0.7360 0.8845
O: 0.1898 0.1898 0.8845
O: 0.2640 0.8102 0.1155
O: 0.8102 0.2640 0.1155
O: 0.8102 0.8102 0.1155


(13)
Entry from Alexandria via LeMat-Bulk: a relaxed CaZnCl crystal (PBE-GGA).

Summary:
Relative energy among the computed polymorphs, meV/atom: 46.9
Space-group type: P3m1, No. 156
Formation energy (no corrections), eV per atom: -0.8679

a b c (Å): 3.9391 3.9391 6.8006
angles (deg): 90.00 90.00 120.00
Fractional positions:
Zn: 0.3333 0.6667 0.7228
Ca: 0.0000 0.0000 0.0258
Cl: 0.6667 0.3333 0.2514


(14)
Entry from Alexandria via LeMat-Bulk: a relaxed CdOsCl crystal (PBE-GGA).

Summary:
Relative energy among the computed polymorphs, meV/atom: 321.9
Space-group type: P-6m2, No. 187
Formation energy (no corrections), eV per atom: 0.9287

a b c (Å): 4.5871 4.5871 2.8753
angles (deg): 90.00 90.00 120.00
Fractional positions:
Cl: 0.6667 0.3333 0.5002
Os: 0.3333 0.6667 0.5000
Cd: 0.0000 0.0000 0.9998


(15)
Entry from Alexandria via LeMat-Bulk: a relaxed MnV2TcC crystal (PBE-GGA).

Summary:
Space-group type: P4/mmm, No. 123
Energy relative to the elements, eV/atom: 1.988

a b c (Å): 4.2199 4.3505 4.2199
angles (deg): 90.00 90.00 90.00
Fractional positions:
C: 0.5000 0.5000 0.5000
Mn: 0.0000 0.0000 0.0000
Tc: 0.0000 0.5000 0.0000
V: 0.0000 0.0000 0.5000
V: 0.5000 0.0000 0.0000


(16)
Entry from Alexandria via LeMat-Bulk: a relaxed Er2TcSe crystal (PBE-GGA).

Summary:
Relative energy among the computed polymorphs, meV/atom: 727.0
Space-group type: R-3m, No. 166
Formation energy (no corrections), eV per atom: 0.0013

a b c (Å): 3.5874 3.5874 9.0700
angles (deg): 78.59 78.59 60.00
Fractional positions:
Tc: 0.0000 0.0000 0.0000
Se: 0.5000 0.5000 0.5000
Er: 0.0942 0.0942 0.7173
Er: 0.9058 0.9058 0.2827


(17)
Entry from Alexandria via LeMat-Bulk: a relaxed Tm2MnGa3Cu12 crystal (PBE-GGA).

Summary:
Space-group type: R-3m, No. 166
Energy relative to the elements, eV/atom: 0.078

a b c (Å): 11.8363 11.8363 11.8363
angles (deg): 26.13 26.13 26.13
Fractional positions:
Tm: 0.6432 0.6432 0.6432
Tm: 0.3568 0.3568 0.3568
Mn: 0.0000 0.0000 0.0000
Ga: 0.5000 0.0000 0.0000
Ga: 0.0000 0.5000 0.0000
Ga: 0.0000 0.0000 0.5000
Cu: 0.4014 0.4014 0.8683
Cu: 0.8861 0.8861 0.3926
Cu: 0.3926 0.8861 0.8861
Cu: 0.8683 0.4014 0.4014
Cu: 0.8861 0.3926 0.8861
Cu: 0.4014 0.8683 0.4014
Cu: 0.5986 0.5986 0.1317
Cu: 0.1139 0.1139 0.6074
Cu: 0.6074 0.1139 0.1139
Cu: 0.1317 0.5986 0.5986
Cu: 0.1139 0.6074 0.1139
Cu: 0.5986 0.1317 0.5986


(18)
Entry from Alexandria via LeMat-Bulk: a relaxed Sc3ZnC crystal (PBE-GGA).

Summary:
Relative energy among the computed polymorphs, meV/atom: 1400.6
Space-group type: I-4m2, No. 119
Energy relative to the elements, eV/atom: 0.963

a b c (Å): 4.7234 4.7234 11.1209
angles (deg): 77.74 77.74 90.00
Fractional positions:
Sc: 0.1042 0.8723 0.2554
Sc: 0.1277 0.8958 0.7446
Sc: 0.1277 0.3596 0.7446
Sc: 0.6404 0.8723 0.2554
Sc: 0.3030 0.3030 0.3940
Sc: 0.6970 0.6970 0.6060
Zn: 0.0000 0.0000 0.0000
Zn: 0.2500 0.7500 0.5000
C: 0.6449 0.1449 0.7103
C: 0.8551 0.3551 0.2897


(19)
Entry from Alexandria via LeMat-Bulk: a relaxed Ca3In3N5 crystal (PBE-GGA).

Summary:
Space-group type: P-1, No. 2
Formation energy (no corrections), eV per atom: -0.2986

a b c (Å): 6.5189 7.2167 8.8992
angles (deg): 104.74 111.06 93.90
Fractional positions:
Ca: 0.8173 0.4268 0.5927
Ca: 0.1827 0.5732 0.4073
Ca: 0.6843 0.8616 0.8939
Ca: 0.3157 0.1384 0.1061
Ca: 0.6113 0.6043 0.1965
Ca: 0.3887 0.3957 0.8035
In: 0.8908 0.3056 0.9635
In: 0.1092 0.6944 0.0365
In: 0.7252 0.9405 0.5623
In: 0.2748 0.0595 0.4377
In: 0.1718 0.8487 0.7261
In: 0.8282 0.1513 0.2739
N: 0.9782 0.0515 0.8213
N: 0.0218 0.9485 0.1787
N: 0.8726 0.6888 0.4839
N: 0.1274 0.3112 0.5161
N: 0.7647 0.5331 0.8477
N: 0.2353 0.4669 0.1523
N: 0.4104 0.8845 0.6066
N: 0.5896 0.1155 0.3934
N: 0.3584 0.7382 0.9342
N: 0.6416 0.2618 0.0658


(20)
Entry from Alexandria via LeMat-Bulk: a relaxed In2AsSe crystal (PBE-GGA).

Summary:
Relative energy among the computed polymorphs, meV/atom: 446.2
Space-group type: Cmmm, No. 65
Formation energy (no corrections), eV per atom: 0.1570

a b c (Å): 3.0825 3.0825 10.3362
angles (deg): 90.00 90.00 103.91
Fractional positions:
As: 0.5000 0.5000 0.7500
Se: 0.5000 0.5000 0.2500
In: 0.0000 0.0000 0.9890
In: 0.0000 0.0000 0.5110